No. 1
The following is a PBE calculation of a relaxed structure of ZrPd6Pt3, from the Alexandria database.

Unit cell a=9.512 b=4.490 c=9.526 alpha=90.00 beta=119.56 gamma=90.00
Fractional coordinates of all 20 atoms:
Zr: 0.000 0.250 0.167
Zr: 0.000 0.750 0.833
Pd: 0.004 0.250 0.660
Pd: 0.178 0.250 0.001
Pd: 0.179 0.750 0.670
Pd: 0.182 0.750 0.180
Pd: 0.490 0.250 0.668
Pd: 0.498 0.750 0.831
Pd: 0.502 0.250 0.169
Pd: 0.510 0.750 0.332
Pd: 0.818 0.250 0.820
Pd: 0.821 0.250 0.330
Pd: 0.822 0.750 0.999
Pd: 0.996 0.750 0.340
Pt: 0.172 0.250 0.499
Pt: 0.345 0.750 0.998
Pt: 0.349 0.250 0.350
Pt: 0.651 0.750 0.650
Pt: 0.655 0.250 0.002
Pt: 0.828 0.750 0.501

Results
Total energy = -118.09 eV per cell
M_tot = 0.000 μB/cell
Symmetry = P2_1/m (11)
Calculated formation energy = -0.1217 eV per atom

=====

No. 2
The following is a PBE calculation of a relaxed structure of Sc5Fe, from the Alexandria database.

Unit cell a=3.181 b=3.181 c=12.740 alpha=90.00 beta=90.00 gamma=90.00
Fractional coordinates of all 6 atoms:
Sc: 0.000 0.000 0.000
Sc: 0.000 0.000 0.384
Sc: 0.000 0.000 0.616
Sc: 0.500 0.500 0.183
Sc: 0.500 0.500 0.817
Fe: 0.500 0.500 0.500

Results
Total energy = -40.24 eV per cell
M_tot = 0.000 μB/cell
Symmetry = P4/mmm (123)
Calculated formation energy = -0.0199 eV per atom
Excess energy over the best structure of this formula in the dataset = 0.114 eV/f.u.

=====

No. 3
The following is a PBE calculation of a relaxed structure of Sr2TlZnO4, from the Alexandria database.

Unit cell a=7.159 b=7.159 c=7.788 alpha=122.87 beta=122.87 gamma=78.95
Fractional coordinates of all 16 atoms:
Sr: 0.000 0.000 0.000
Sr: 0.000 0.000 0.500
Sr: 0.000 0.500 0.000
Sr: 0.500 0.000 0.500
Tl: 0.000 0.500 0.500
Tl: 0.500 0.000 0.000
Zn: 0.500 0.500 0.000
Zn: 0.500 0.500 0.500
O: 0.198 0.208 0.452
O: 0.208 0.198 0.952
O: 0.294 0.705 0.475
O: 0.295 0.706 0.025
O: 0.705 0.294 0.975
O: 0.706 0.295 0.525
O: 0.792 0.802 0.048
O: 0.802 0.792 0.548

Results
Total energy = -80.99 eV per cell
M_tot = 0.000 μB/cell
Symmetry = C2/c (15)

=====

No. 4
The following is a PBE calculation of a relaxed structure of KB2Mo, from the Alexandria database.

Unit cell a=6.351 b=6.351 c=6.351 alpha=117.60 beta=117.60 gamma=94.21
Fractional coordinates of all 8 atoms:
K: 0.000 0.000 0.000
K: 0.750 0.250 0.500
B: 0.290 0.625 0.165
B: 0.375 0.540 0.665
B: 0.460 0.125 0.835
B: 0.875 0.710 0.335
Mo: 0.250 0.750 0.500
Mo: 0.500 0.500 0.000

Results
Total energy = -43.00 eV per cell
M_tot = 0.000 μB/cell
Symmetry = I-42d (122)
Calculated formation energy = 0.9465 eV per atom
Excess energy over the best structure of this formula in the dataset = 0.000 eV/f.u.

=====

No. 5
The following is a PBE calculation of a relaxed structure of SrY2Zn, from the Alexandria database.

Unit cell a=10.505 b=10.505 c=10.505 alpha=146.30 beta=146.30 gamma=48.40
Fractional coordinates of all 8 atoms:
Sr: 0.000 0.000 0.000
Sr: 0.750 0.250 0.500
Y: 0.374 0.125 0.749
Y: 0.375 0.626 0.751
Y: 0.376 0.625 0.251
Y: 0.875 0.624 0.249
Zn: 0.250 0.750 0.500
Zn: 0.500 0.500 0.000

Results
Total energy = -26.73 eV per cell
M_tot = 0.000 μB/cell
Symmetry = I-42d (122)
Calculated formation energy = 0.6301 eV per atom

=====

No. 6
The following is a PBE calculation of a relaxed structure of Tm3Cu3Ag2, from the Alexandria database.

Unit cell a=6.909 b=6.909 c=3.929 alpha=90.00 beta=90.00 gamma=120.00
Fractional coordinates of all 8 atoms:
Tm: 0.000 0.648 0.000
Tm: 0.352 0.352 0.000
Tm: 0.648 0.000 0.000
Cu: 0.000 0.222 0.500
Cu: 0.222 0.000 0.500
Cu: 0.778 0.778 0.500
Ag: 0.333 0.667 0.500
Ag: 0.667 0.333 0.500

Results
Total energy = -32.82 eV per cell
M_tot = 0.000 μB/cell
Symmetry = P-62m (189)
Calculated formation energy = -0.1765 eV per atom

=====

What is the formula in the fifth record? SrY2Zn

=====

Repeat the first record exactly.
The following is a PBE calculation of a relaxed structure of ZrPd6Pt3, from the Alexandria database.

Unit cell a=9.512 b=4.490 c=9.526 alpha=90.00 beta=119.56 gamma=90.00
Fractional coordinates of all 20 atoms:
Zr: 0.000 0.250 0.167
Zr: 0.000 0.750 0.833
Pd: 0.004 0.250 0.660
Pd: 0.178 0.250 0.001
Pd: 0.179 0.750 0.670
Pd: 0.182 0.750 0.180
Pd: 0.490 0.250 0.668
Pd: 0.498 0.750 0.831
Pd: 0.502 0.250 0.169
Pd: 0.510 0.750 0.332
Pd: 0.818 0.250 0.820
Pd: 0.821 0.250 0.330
Pd: 0.822 0.750 0.999
Pd: 0.996 0.750 0.340
Pt: 0.172 0.250 0.499
Pt: 0.345 0.750 0.998
Pt: 0.349 0.250 0.350
Pt: 0.651 0.750 0.650
Pt: 0.655 0.250 0.002
Pt: 0.828 0.750 0.501

Results
Total energy = -118.09 eV per cell
M_tot = 0.000 μB/cell
Symmetry = P2_1/m (11)
Calculated formation energy = -0.1217 eV per atom